# 1
DFT (PBE) results for an optimized crystal structure of Cd2Ag17.

E in eV for the cell shown: -144.00
Energy of formation in eV per atom: 0.121
Density of states at the Fermi level in states/eV/f.u.: 4.8
Magnetic moment in μB/f.u.: 0.00

Structure (CIF):
```
data_Cd2Ag17
_symmetry_space_group_name_H-M 'R -3 m'
_symmetry_Int_Tables_number 166
_symmetry_space_group_name_Hall '-R 3 2"'
_cell_length_a 9.4824
_cell_length_b 9.4824
_cell_length_c 14.4854
_cell_angle_alpha 90.00
_cell_angle_beta 90.00
_cell_angle_gamma 120.00
loop_
_atom_site_label
_atom_site_fract_x
_atom_site_fract_y
_atom_site_fract_z
_atom_site_occupancy
Cd1 0.0000 0.0000 0.1313 1
Ag1 0.0000 0.0000 0.4035 1
Ag2 0.0000 0.3161 0.5000 1
Ag3 0.0000 0.5000 0.0000 1
Ag4 0.0034 0.5017 0.6578 1
```

# 2
DFT (PBE) results for an optimized crystal structure of Cd5Ag7.

Energy above the lowest structure with this stoichiometry in meV/atom: 21.2
E in eV for the cell shown: -24.77
Energy of formation in eV per atom: -0.020
Density of states at the Fermi level in states/eV/f.u.: 4.6
Magnetic moment in μB/f.u.: 0.00

Structure (CIF):
```
data_Cd5Ag7
_symmetry_space_group_name_H-M 'P m m 2'
_symmetry_Int_Tables_number 25
_symmetry_space_group_name_Hall 'P 2 -2'
_cell_length_a 3.049
_cell_length_b 9.134
_cell_length_c 8.301
_cell_angle_alpha 90.00
_cell_angle_beta 90.00
_cell_angle_gamma 90.00
loop_
_atom_site_label
_atom_site_fract_x
_atom_site_fract_y
_atom_site_fract_z
_atom_site_occupancy
Cd1 0.000 0.000 0.000 1
Cd2 0.000 0.335 0.526 1
Cd3 0.500 0.171 0.264 1
Ag1 0.000 0.000 0.517 1
Ag2 0.000 0.336 0.015 1
Ag3 0.500 0.168 0.763 1
Ag4 0.500 0.500 0.264 1
Ag5 0.500 0.500 0.777 1
```

# 3
DFT (PBE) results for an optimized crystal structure of CdAg2.

Energy above the lowest structure with this stoichiometry in meV/atom: 37.4
E in eV for the cell shown: -13.26
Energy of formation in eV per atom: -0.003
Density of states at the Fermi level in states/eV/f.u.: 1.1
Magnetic moment in μB/f.u.: 0.00

Structure (CIF):
```
data_CdAg2
_symmetry_space_group_name_H-M 'P 63/m m c'
_symmetry_Int_Tables_number 194
_symmetry_space_group_name_Hall '-P 6c 2c'
_cell_length_a 4.7698
_cell_length_b 4.7698
_cell_length_c 5.8339
_cell_angle_alpha 90.00
_cell_angle_beta 90.00
_cell_angle_gamma 120.00
loop_
_atom_site_label
_atom_site_fract_x
_atom_site_fract_y
_atom_site_fract_z
_atom_site_occupancy
Cd1 0.3333 0.6667 0.2500 1
Ag1 0.0000 0.0000 0.0000 1
Ag2 0.3333 0.6667 0.7500 1
```

What did the first record say?
DFT (PBE) results for an optimized crystal structure of Cd2Ag17.

E in eV for the cell shown: -144.00
Energy of formation in eV per atom: 0.121
Density of states at the Fermi level in states/eV/f.u.: 4.8
Magnetic moment in μB/f.u.: 0.00

Structure (CIF):
```
data_Cd2Ag17
_symmetry_space_group_name_H-M 'R -3 m'
_symmetry_Int_Tables_number 166
_symmetry_space_group_name_Hall '-R 3 2"'
_cell_length_a 9.4824
_cell_length_b 9.4824
_cell_length_c 14.4854
_cell_angle_alpha 90.00
_cell_angle_beta 90.00
_cell_angle_gamma 120.00
loop_
_atom_site_label
_atom_site_fract_x
_atom_site_fract_y
_atom_site_fract_z
_atom_site_occupancy
Cd1 0.0000 0.0000 0.1313 1
Ag1 0.0000 0.0000 0.4035 1
Ag2 0.0000 0.3161 0.5000 1
Ag3 0.0000 0.5000 0.0000 1
Ag4 0.0034 0.5017 0.6578 1
```

Question: The lowest density of states at the Fermi level belongs to which entry?
Answer: CdAg2